# 1
First-principles (SCAN) data for a PBEsol-optimized structure of TaTiRu3, as listed in the Alexandria database.

Results
- Density: 10.583 g cm⁻³

a b c (Å): 4.370 4.370 4.370
angles (deg): 90.00 90.00 90.00
Space group Pm-3m (No. 221)
Asymmetric unit:
Ta (0.000, 0.000, 0.000) x1
Ti (0.500, 0.500, 0.500) x1
Ru (0.000, 0.500, 0.500) x3

# 2
First-principles (SCAN) data for a PBEsol-optimized structure of AlCoTc2Rh, as listed in the Alexandria database.

Results
- Density: 6.984 g cm⁻³

a b c (Å): 4.551 4.551 4.418
angles (deg): 90.00 90.00 90.00
Space group P4/mmm (No. 123)
Asymmetric unit:
Al (0.000, 0.000, 0.000) x1
Co (0.500, 0.500, 0.000) x1
Tc (0.000, 0.500, 0.500) x2
Rh (0.500, 0.500, 0.500) x1

# 3
First-principles (SCAN) data for a PBEsol-optimized structure of Sr2TiMn, as listed in the Alexandria database.

Results
- Density: 3.863 g cm⁻³

a b c (Å): 7.819 7.819 7.819
angles (deg): 90.00 90.00 90.00
Space group Fm-3m (No. 225)
Asymmetric unit:
Sr (0.250, 0.250, 0.250) x8
Ti (0.000, 0.000, 0.000) x4
Mn (0.000, 0.000, 0.500) x4

# 4
First-principles (SCAN) data for a PBEsol-optimized structure of Sc2AgRh, as listed in the Alexandria database.

Results
- Density: 7.104 g cm⁻³

a b c (Å): 4.643 4.643 3.260
angles (deg): 90.00 90.00 90.00
Space group P4/mmm (No. 123)
Asymmetric unit:
Sc (0.000, 0.500, 0.000) x2
Ag (0.000, 0.000, 0.500) x1
Rh (0.500, 0.500, 0.500) x1

Taking the records one at a time from the top gives M_tot values of 0.000, 3.611, 7.853, 0.000 μB per formula unit.
Taking the records one at a time from the top gives ΔE_f values of 0.95, 1.54, 0.67, -0.71 eV per atom.